1.
DFT (PBE) results for ReTcAs3 after structural relaxation.

As for the density of states at the Fermi level: 5.12 states/eV/f.u. The calculation puts the total magnetization at 2.55 μB/f.u. Its total energy is -6.1437 eV per atom. The value obtained for the polymorph energy (0 for the lowest one) is 0.00 eV/f.u.

It has space group Pm-3m (No. 221), with a = 4.804 Å, b = 4.804 Å, c = 4.804 Å, α = 90.00°, β = 90.00° and γ = 90.00°. The inequivalent atoms are Re at (0.000, 0.000, 0.000), Tc at (0.500, 0.500, 0.500) and As at (0.000, 0.000, 0.500).

2.
DFT (PBE) results for SrNp2Tl3Te6 after structural relaxation.

As for the density of states at the Fermi level: 18.29 states/eV/f.u. The calculation puts the total magnetization at 7.00 μB/f.u. As for the uncorrected formation energy: -0.726 eV per atom. Its total energy is -5.1858 eV per atom.

It has space group C2/m (No. 12), with a = 7.916 Å, b = 13.667 Å, c = 8.549 Å, α = 90.00°, β = 107.85° and γ = 90.00°. The inequivalent atoms are Sr at (0.000, 0.000, 0.000), Np at (0.000, 0.332, 0.000), Tl at (0.000, 0.160, 0.500), Tl at (0.000, 0.500, 0.500), Te at (0.215, 0.500, 0.212) and Te at (0.248, 0.322, 0.780).

3.
DFT (PBE) results for HfTaGa2 after structural relaxation.

As for the density of states at the Fermi level: 2.55 states/eV/f.u. The calculation puts the total magnetization at 0.00 μB/f.u. Its total energy is -7.2509 eV per atom. The value obtained for the polymorph energy (0 for the lowest one) is 0.00 eV/f.u.

It has space group Pnma (No. 62), with a = 6.728 Å, b = 3.775 Å, c = 11.303 Å, α = 90.00°, β = 90.00° and γ = 90.00°. The inequivalent atoms are Hf at (0.232, 0.250, 0.176), Ta at (0.165, 0.250, 0.476), Ga at (0.047, 0.750, 0.322) and Ga at (0.058, 0.250, 0.907).